No. 1
Density functional theory data (PBE) for crystalline MnCd3Pd12 at its relaxed geometry.

Results
- formation enthalpy at 0 K (eV per atom) = -0.230
- raw total energy (eV/cell) = -77.902

Lattice parameters (Å, degrees): 3.999 3.999 16.051 90.00 90.00 90.00
Space group P4/mmm (No. 123)
Unique sites:
Mn 0.000 0.000 0.000 [1 per cell]
Cd 0.000 0.000 0.246 [2 per cell]
Cd 0.000 0.000 0.500 [1 per cell]
Pd 0.000 0.500 0.118 [4 per cell]
Pd 0.000 0.500 0.373 [4 per cell]
Pd 0.500 0.500 0.000 [1 per cell]
Pd 0.500 0.500 0.245 [2 per cell]
Pd 0.500 0.500 0.500 [1 per cell]


No. 2
Density functional theory data (PBE) for crystalline NaNpCl5 at its relaxed geometry.

Results
- formation energy from raw total energies (eV per atom) = -1.6593
- raw total energy (eV/cell) = -140.433

Lattice parameters (Å, degrees): 11.751 8.307 10.370 90.00 116.25 90.00
Space group C2/c (No. 15)
Unique sites:
Na 0.000 0.023 0.250 [4 per cell]
Np 0.000 0.500 0.000 [4 per cell]
Cl 0.000 0.394 0.250 [4 per cell]
Cl 0.056 0.207 0.969 [8 per cell]
Cl 0.235 0.428 0.637 [8 per cell]


No. 3
Density functional theory data (PBE) for crystalline Cs3K2SnCl6 at its relaxed geometry.

Results
- formation energy from raw total energies (eV per atom) = -1.6185
- raw total energy (eV/cell) = -78.521

Lattice parameters (Å, degrees): 8.181 15.114 7.811 90.00 110.72 90.00
Space group C2/m (No. 12)
Unique sites:
Cs 0.000 0.000 0.000 [2 per cell]
Cs 0.000 0.341 0.000 [4 per cell]
K 0.000 0.170 0.500 [4 per cell]
Sn 0.000 0.500 0.500 [2 per cell]
Cl 0.244 0.000 0.690 [4 per cell]
Cl 0.248 0.325 0.725 [8 per cell]


No. 4
Density functional theory data (PBE) for crystalline Sr5Ga at its relaxed geometry.

Results
- relative energy among the computed polymorphs (meV per atom) = 0.0
- formation enthalpy at 0 K (eV per atom) = -0.116
- raw total energy (eV/cell) = -12.135

Lattice parameters (Å, degrees): 4.071 4.071 16.573 90.00 90.00 90.00
Space group P4/mmm (No. 123)
Unique sites:
Sr 0.000 0.000 0.000 [1 per cell]
Sr 0.000 0.000 0.390 [2 per cell]
Sr 0.500 0.500 0.192 [2 per cell]
Ga 0.500 0.500 0.500 [1 per cell]


No. 5
Density functional theory data (PBE) for crystalline NaScNbSi2 at its relaxed geometry.

Results
- formation energy from raw total energies (eV per atom) = 0.6680
- raw total energy (eV/cell) = -25.226

Lattice parameters (Å, degrees): 4.817 4.817 4.982 90.00 90.00 90.00
Space group P4/mmm (No. 123)
Unique sites:
Na 0.000 0.000 0.000 [1 per cell]
Sc 0.500 0.500 0.000 [1 per cell]
Nb 0.000 0.000 0.500 [1 per cell]
Si 0.000 0.500 0.500 [2 per cell]


Number 3 is which compound?
Cs3K2SnCl6


Which value of raw total energy does entry 4 give?
-12.135 eV/cell


What is the formula in the fourth record?
Sr5Ga